Record 1
11
Lattice="-3.3198 3.3198 8.5374 3.3198 -3.3198 8.5374 3.3198 3.3198 -8.5374" Properties=species:S:1:pos:R:3 comment="NdSm4Dy6 | the Alexandria database | PBE-GGA | optimized geometry" polymorph_energy_kj_per_mol_atoms=0.0 crystal_system=tetragonal pbc="T T T"
Nd 0.0000 0.0000 0.0000
Sm 2.0645 -2.0645 5.5416
Sm 1.2553 1.2553 2.9958
Sm -2.0645 2.0645 5.5416
Sm 2.0645 2.0645 11.5332
Dy 3.3198 0.0000 0.0000
Dy 2.1357 2.1357 -2.1740
Dy 1.1841 -1.1841 10.7114
Dy 0.0000 3.3198 0.0000
Dy 1.1841 1.1841 6.3634
Dy -1.1841 1.1841 10.7114

=====

Record 2
13
Lattice="6.2405 0.0000 0.0000 1.0405 8.0059 0.0000 1.0368 3.9286 8.6460" Properties=species:S:1:pos:R:3 comment="Nd2Sm7Dy4 | the Alexandria database | PBE-GGA | optimized geometry" energy_ry_per_atom=-0.3436 crystal_system=triclinic pbc="T T T"
Nd 1.5675 3.0505 3.3198
Nd 6.7503 8.8840 5.3262
Sm 0.5203 4.0030 0.0000
Sm 1.5506 5.4889 5.9994
Sm 1.5636 0.6072 0.6650
Sm 3.6460 7.6565 3.9903
Sm 4.6718 4.2780 4.6557
Sm 6.7542 11.3274 7.9811
Sm 6.7672 6.4457 2.6466
Dy 3.6351 10.0989 6.6705
Dy 3.6445 5.2149 1.3162
Dy 4.6734 6.7196 7.3298
Dy 4.6827 1.8356 1.9756

=====

Record 3
11
Lattice="7.1673 -3.4118 0.0000 7.1673 3.4118 0.0000 -3.5205 0.0000 7.9178" Properties=species:S:1:pos:R:3 comment="Nd8SmDy2 | the Alexandria database | PBE-GGA | optimized geometry" polymorph_energy_kj_per_mol_atoms=4.0 crystal_system=monoclinic pbc="T T T"
Nd -1.9355 0.0000 7.8632
Nd 3.6824 1.7711 4.8941
Nd 0.7127 0.0000 6.1097
Nd 7.1316 1.7711 3.0237
Nd 3.6824 -1.7711 4.8941
Nd 10.1013 0.0000 1.8081
Nd 7.1316 -1.7711 3.0237
Nd 12.7495 0.0000 0.0546
Sm 7.1673 0.0000 0.0000
Dy 4.2016 0.0000 1.9356
Dy 6.6125 0.0000 5.9822

=====

Record 4
9
Lattice="5.7629 -2.5747 0.0000 5.7629 2.5747 0.0000 -3.4686 0.0000 10.3452" Properties=species:S:1:pos:R:3 comment="Nd5Sm2Dy2 | the Alexandria database | PBE-GGA | optimized geometry" polymorph_energy_kj_per_mol_atoms=0.0 crystal_system=monoclinic pbc="T T T"
Nd 0.0000 0.0000 0.0000
Nd 2.2945 0.0000 4.6022
Nd 3.4610 0.0000 1.1519
Nd 4.5963 0.0000 9.1934
Nd 5.7628 0.0000 5.7430
Sm -2.3080 0.0000 6.9061
Sm 10.3653 0.0000 3.4391
Dy 1.1440 0.0000 8.0396
Dy 6.9133 0.0000 2.3057

=====

Record 5
4
Lattice="1.8234 1.0527 11.7972 -1.8234 1.0527 11.7972 0.0000 -2.1055 11.7972" Properties=species:S:1:pos:R:3 comment="Nd2SmDy | the Alexandria database | PBE-GGA | optimized geometry" polymorph_energy_kj_per_mol_atoms=0.4 crystal_system=trigonal pbc="T T T"
Nd 0.0000 0.0000 0.0000
Nd 0.0000 0.0000 5.9527
Sm 0.0000 0.0000 26.5781
Dy 0.0000 0.0000 20.6567

=====

Record 6
7
Lattice="-2.9617 4.3997 6.0690 2.9617 -4.3997 6.0690 2.9617 4.3997 -6.0690" Properties=species:S:1:pos:R:3 comment="Nd5SmDy | the Alexandria database | PBE-GGA | optimized geometry" energy_ry_per_atom=-0.2771 crystal_system=orthorhombic pbc="T T T"
Nd 0.0000 0.0000 0.0000
Nd 2.9617 0.0000 3.0195
Nd 2.9617 2.8439 0.0000
Nd 0.0000 1.5558 6.0690
Nd 0.0000 4.3997 3.0495
Sm 2.9617 0.0000 0.0000
Dy 0.0000 4.3997 0.0000

=====

Record 7
8
Lattice="5.1220 0.0000 0.0000 0.0000 5.1220 0.0000 0.0000 0.0000 10.2414" Properties=species:S:1:pos:R:3 comment="NdSm6Dy | the Alexandria database | PBE-GGA | optimized geometry" polymorph_energy_kj_per_mol_atoms=0.0 crystal_system=tetragonal pbc="T T T"
Nd 0.0000 0.0000 0.0000
Sm 0.0000 2.5610 2.5820
Sm 0.0000 2.5610 7.6595
Sm 2.5610 0.0000 2.5820
Sm 2.5610 0.0000 7.6595
Sm 2.5610 2.5610 0.0000
Sm 2.5610 2.5610 5.1207
Dy 0.0000 0.0000 5.1207

=====

Record 8
11
Lattice="6.5591 0.0000 0.0000 -0.6721 6.7140 0.0000 -1.3623 -1.5957 8.4727" Properties=species:S:1:pos:R:3 comment="NdSm7Dy3 | the Alexandria database | PBE-GGA | optimized geometry" polymorph_energy_kj_per_mol_atoms=0.0 crystal_system=triclinic pbc="T T T"
Nd 0.0000 0.0000 0.0000
Sm -0.3360 3.3570 0.0000
Sm -0.6512 0.3878 5.4310
Sm -0.0008 3.7172 6.0229
Sm 1.7723 0.1407 7.7485
Sm 2.7523 4.9776 0.7242
Sm 4.5255 1.4011 2.4498
Sm 5.1759 4.7305 3.0418
Dy 1.2802 2.3800 2.8621
Dy 2.5984 -0.7979 4.2364
Dy 3.2444 2.7383 5.6106

=====

Record 9
3
Lattice="3.1473 -1.8206 0.0000 3.1473 1.8206 0.0000 -2.1359 0.0000 8.7897" Properties=species:S:1:pos:R:3 comment="NdSmDy | the Alexandria database | PBE-GGA | optimized geometry" polymorph_energy_kj_per_mol_atoms=0.4 crystal_system=monoclinic pbc="T T T"
Nd 0.0000 0.0000 0.0000
Sm 2.0560 0.0000 2.9971
Dy -0.0393 0.0000 5.8683

=====

Record 10
9
Lattice="5.8679 -1.7389 0.0000 5.8679 1.7389 0.0000 -3.1014 0.0000 15.1359" Properties=species:S:1:pos:R:3 comment="NdSm6Dy2 | the Alexandria database | PBE-GGA | optimized geometry" polymorph_energy_kj_per_mol_atoms=0.0 crystal_system=monoclinic pbc="T T T"
Nd 0.0000 0.0000 0.0000
Sm -0.2464 0.0000 3.5114
Sm 3.1166 0.0000 1.5916
Sm 2.6357 0.0000 8.5193
Sm 5.9986 0.0000 6.6166
Sm 5.5177 0.0000 13.5443
Sm 8.8807 0.0000 11.6246
Dy 2.8722 0.0000 5.0592
Dy 5.7622 0.0000 10.0767

=====

Looking at theoretical density for the records above, in order, we have 7.59, 7.65, 6.99, 7.29, 7.35, 5.43, 7.47, 7.50, 7.54, 7.37 g/cm3.